Here is a geometry-optimized CePuPa14 structure from Alexandria. Energies are from PBE.

The value obtained for the total energy is -9.560 eV per atom. The calculated formation energy comes out at 0.016 eV per atom.

abc: 6.636 6.636 9.109
angles: 90.00 90.00 90.00
Space group P4/mmm (No. 123)
One atom of each set of equivalent atoms:
Ce 0.000 0.000 0.000
Pu 0.500 0.500 0.000
Pa 0.000 0.000 0.500
Pa 0.000 0.500 0.000
Pa 0.000 0.500 0.500
Pa 0.251 0.251 0.249
Pa 0.500 0.500 0.500

***

Here is a geometry-optimized CePu2Pa structure from Alexandria. Energies are from PBE.

The value obtained for the total energy is -10.881 eV per atom. The calculated formation energy comes out at 0.142 eV per atom.

abc: 3.3173 3.3173 31.7073
angles: 90.00 90.00 120.00
Space group R-3m (No. 166, hexagonal axes)
One atom of each set of equivalent atoms:
Ce 0.0000 0.0000 0.0000
Pu 0.0000 0.0000 0.2476
Pa 0.0000 0.0000 0.5000

***

Here is a geometry-optimized CePuPa2 structure from Alexandria. Energies are from PBE.

The value obtained for the total energy is -9.745 eV per atom. The calculated formation energy comes out at 0.069 eV per atom.

abc: 3.325 3.325 8.912
angles: 90.00 90.00 90.00
Space group P4/mmm (No. 123)
One atom of each set of equivalent atoms:
Ce 0.000 0.000 0.000
Pu 0.000 0.000 0.500
Pa 0.500 0.500 0.261

***

Here is a geometry-optimized CePu2Pa10 structure from Alexandria. Energies are from PBE.

The value obtained for the total energy is -9.871 eV per atom. The calculated formation energy comes out at 0.095 eV per atom.

abc: 5.821 14.766 14.995
angles: 90.00 90.00 90.00
Space group Fmmm (No. 69)
One atom of each set of equivalent atoms:
Ce 0.000 0.000 0.000
Pu 0.250 0.000 0.250
Pa 0.000 0.105 0.390
Pa 0.000 0.178 0.180
Pa 0.250 0.250 0.000

***

Here is a geometry-optimized CePuPa2 structure from Alexandria. Energies are from PBE.

The value obtained for the total energy is -9.761 eV per atom. The calculated formation energy comes out at 0.054 eV per atom.

abc: 4.660 4.660 4.556
angles: 90.00 90.00 90.00
Space group P4/mmm (No. 123)
One atom of each set of equivalent atoms:
Ce 0.000 0.000 0.000
Pu 0.500 0.500 0.000
Pa 0.000 0.500 0.500

***

Here is a geometry-optimized Ce2PuPa structure from Alexandria. Energies are from PBE.

The value obtained for the total energy is -8.842 eV per atom. The calculated formation energy comes out at 0.082 eV per atom.

abc: 3.270 3.270 9.470
angles: 90.00 90.00 90.00
Space group P4/mmm (No. 123)
One atom of each set of equivalent atoms:
Ce 0.000 0.000 0.250
Pu 0.500 0.500 0.000
Pa 0.500 0.500 0.500

***

Here is a geometry-optimized Ce6PuPa2 structure from Alexandria. Energies are from PBE.

The value obtained for the total energy is -7.545 eV per atom. The calculated formation energy comes out at 0.114 eV per atom.

abc: 3.2238 3.2238 25.6047
angles: 90.00 90.00 120.00
Space group P-6m2 (No. 187)
One atom of each set of equivalent atoms:
Ce 0.0000 0.0000 0.0568
Ce 0.0000 0.0000 0.2792
Ce 0.3333 0.6667 0.3922
Pu 0.0000 0.0000 0.5000
Pa 0.3333 0.6667 0.1684

***

Here is a geometry-optimized CePuPa2 structure from Alexandria. Energies are from PBE.

The value obtained for the total energy is -9.306 eV per atom. The calculated formation energy comes out at 0.509 eV per atom.

abc: 4.0259 4.0259 21.3467
angles: 90.00 90.00 120.00
Space group R3m (No. 160, hexagonal axes)
One atom of each set of equivalent atoms:
Ce 0.0000 0.0000 0.0000
Pu 0.0000 0.0000 0.8262
Pa 0.0000 0.0000 0.4328
Pa 0.0000 0.0000 0.5872

***

Here is a geometry-optimized Ce2PuPa4 structure from Alexandria. Energies are from PBE.

The value obtained for the total energy is -9.092 eV per atom. The calculated formation energy comes out at 0.077 eV per atom.

abc: 3.199 34.114 3.218
angles: 90.00 90.00 90.00
Space group Cmmm (No. 65)
One atom of each set of equivalent atoms:
Ce 0.000 0.212 0.000
Pu 0.000 0.500 0.500
Pa 0.000 0.068 0.000
Pa 0.000 0.362 0.500

***

Here is a geometry-optimized CePuPaRe structure from Alexandria. Energies are from PBE.

The value obtained for the total energy is -10.441 eV per atom. The calculated formation energy comes out at 0.112 eV per atom.

abc: 7.022 7.022 7.022
angles: 90.00 90.00 90.00
Space group F-43m (No. 216)
One atom of each set of equivalent atoms:
Ce 0.000 0.000 0.000
Pu 0.250 0.250 0.750
Pa 0.250 0.250 0.250
Re 0.000 0.000 0.500

***

Here is a geometry-optimized Ce2PuPa2Rh5 structure from Alexandria. Energies are from PBE.

The value obtained for the total energy is -8.730 eV per atom. The calculated formation energy comes out at -0.535 eV per atom.

abc: 10.895 10.895 3.605
angles: 90.00 90.00 90.00
Space group P4/mbm (No. 127)
One atom of each set of equivalent atoms:
Ce 0.165 0.335 0.000
Pu 0.000 0.000 0.000
Pa 0.143 0.643 0.000
Rh 0.000 0.500 0.500
Rh 0.066 0.810 0.500

***

Here is a geometry-optimized CePuPa2Sb4 structure from Alexandria. Energies are from PBE.

The raw formation energy is -0.64 eV/atom. The value obtained for the total energy is -7.612 eV per atom.

abc: 7.652 4.424 7.668
angles: 90.00 109.50 90.00
Space group P2/m (No. 10)
One atom of each set of equivalent atoms:
Ce 0.000 0.000 0.000
Pu 0.500 0.500 0.000
Pa 0.000 0.500 0.500
Pa 0.500 0.000 0.500
Sb 0.250 0.000 0.745
Sb 0.254 0.500 0.257